# 1
# PBE-GGA Ca2TaTiSn, relaxed
data_Ca2TaTiSn
_symmetry_space_group_name_H-M 'P 4/m m m'
_symmetry_Int_Tables_number 123
_symmetry_space_group_name_Hall '-P 4 2'
_cell_length_a 5.150
_cell_length_b 5.150
_cell_length_c 5.214
_cell_angle_alpha 90.00
_cell_angle_beta 90.00
_cell_angle_gamma 90.00
loop_
_atom_site_label
_atom_site_type_symbol
_atom_site_fract_x
_atom_site_fract_y
_atom_site_fract_z
_atom_site_occupancy
Ca1 Ca 0.000 0.500 0.000 1
Ta1 Ta 0.000 0.000 0.500 1
Ti1 Ti 0.500 0.500 0.000 1
Sn1 Sn 0.500 0.500 0.500 1
# Crystal system ... tetragonal
# Formation enthalpy at 0 K ... 1.36 eV per atom



# 2
# PBE-GGA CaTb2Sn, relaxed
data_CaTb2Sn
_symmetry_space_group_name_H-M 'R -3 m'
_symmetry_Int_Tables_number 166
_symmetry_space_group_name_Hall '-R 3 2"'
_cell_length_a 3.5630
_cell_length_b 3.5630
_cell_length_c 36.8409
_cell_angle_alpha 90.00
_cell_angle_beta 90.00
_cell_angle_gamma 120.00
loop_
_atom_site_label
_atom_site_type_symbol
_atom_site_fract_x
_atom_site_fract_y
_atom_site_fract_z
_atom_site_occupancy
Ca1 Ca 0.0000 0.0000 0.0000 1
Tb1 Tb 0.0000 0.0000 0.4158 1
Sn1 Sn 0.0000 0.0000 0.5000 1
# Relative energy among the computed polymorphs ... 493.2 meV per atom
# Crystal system ... trigonal
# Formation enthalpy at 0 K ... 0.13 eV per atom



# 3
# PBE-GGA Ca2TbSn9, relaxed
data_Ca2TbSn9
_symmetry_space_group_name_H-M 'P 4/m m m'
_symmetry_Int_Tables_number 123
_symmetry_space_group_name_Hall '-P 4 2'
_cell_length_a 4.745
_cell_length_b 4.745
_cell_length_c 14.237
_cell_angle_alpha 90.00
_cell_angle_beta 90.00
_cell_angle_gamma 90.00
loop_
_atom_site_label
_atom_site_type_symbol
_atom_site_fract_x
_atom_site_fract_y
_atom_site_fract_z
_atom_site_occupancy
Ca1 Ca 0.000 0.000 0.168 1
Tb1 Tb 0.000 0.000 0.500 1
Sn1 Sn 0.000 0.500 0.000 1
Sn2 Sn 0.000 0.500 0.335 1
Sn3 Sn 0.500 0.500 0.167 1
Sn4 Sn 0.500 0.500 0.500 1
# Crystal system ... tetragonal
# Formation enthalpy at 0 K ... -0.41 eV per atom



# 4
# PBE-GGA Ca3TbSn12, relaxed
data_Ca3TbSn12
_symmetry_space_group_name_H-M 'P 4/m m m'
_symmetry_Int_Tables_number 123
_symmetry_space_group_name_Hall '-P 4 2'
_cell_length_a 4.731
_cell_length_b 4.731
_cell_length_c 19.132
_cell_angle_alpha 90.00
_cell_angle_beta 90.00
_cell_angle_gamma 90.00
loop_
_atom_site_label
_atom_site_type_symbol
_atom_site_fract_x
_atom_site_fract_y
_atom_site_fract_z
_atom_site_occupancy
Ca1 Ca 0.000 0.000 0.000 1
Ca2 Ca 0.000 0.000 0.252 1
Tb1 Tb 0.000 0.000 0.500 1
Sn1 Sn 0.000 0.500 0.125 1
Sn2 Sn 0.000 0.500 0.376 1
Sn3 Sn 0.500 0.500 0.000 1
Sn4 Sn 0.500 0.500 0.250 1
Sn5 Sn 0.500 0.500 0.500 1
# Crystal system ... tetragonal
# Formation enthalpy at 0 K ... -0.40 eV per atom



# 5
# PBE-GGA CaTbSn6, relaxed
data_CaTbSn6
_symmetry_space_group_name_H-M 'P 4/m m m'
_symmetry_Int_Tables_number 123
_symmetry_space_group_name_Hall '-P 4 2'
_cell_length_a 4.702
_cell_length_b 4.702
_cell_length_c 9.645
_cell_angle_alpha 90.00
_cell_angle_beta 90.00
_cell_angle_gamma 90.00
loop_
_atom_site_label
_atom_site_type_symbol
_atom_site_fract_x
_atom_site_fract_y
_atom_site_fract_z
_atom_site_occupancy
Ca1 Ca 0.000 0.000 0.000 1
Tb1 Tb 0.000 0.000 0.500 1
Sn1 Sn 0.000 0.500 0.251 1
Sn2 Sn 0.500 0.500 0.000 1
Sn3 Sn 0.500 0.500 0.500 1
# Crystal system ... tetragonal
# Formation enthalpy at 0 K ... -0.42 eV per atom



# 6
# PBE-GGA CaTb2Sn2, relaxed
data_CaTb2Sn2
_symmetry_space_group_name_H-M 'P 4/m b m'
_symmetry_Int_Tables_number 127
_symmetry_space_group_name_Hall '-P 4 2ab'
_cell_length_a 8.067
_cell_length_b 8.067
_cell_length_c 4.488
_cell_angle_alpha 90.00
_cell_angle_beta 90.00
_cell_angle_gamma 90.00
loop_
_atom_site_label
_atom_site_type_symbol
_atom_site_fract_x
_atom_site_fract_y
_atom_site_fract_z
_atom_site_occupancy
Ca1 Ca 0.000 0.000 0.000 1
Tb1 Tb 0.174 0.326 0.500 1
Sn1 Sn 0.127 0.627 0.000 1
# Crystal system ... tetragonal
# Formation enthalpy at 0 K ... -0.66 eV per atom